# 1
Crystalline CsPuTl2Cl5 at its relaxed geometry. Source: Alexandria, functional PBE.

Calculated values
Its space group is Immm, No. 71. Its theoretical density is 4.82 g/cm3. The raw formation energy comes out at -13.14 eV per formula unit.

Lattice parameters (Å, degrees): 5.452 7.874 9.088 115.67 107.46 90.00
Site moments in Bohr magnetons follow the coordinates.
Fractional coordinates of all 9 atoms:
Cl 0.630 0.879 0.259  -0.01
Tl 0.787 0.787 0.575  0.03
Pu 0.500 0.000 0.000  5.63
Cl 0.630 0.381 0.259  -0.01
Cl 0.000 0.000 0.000  -0.04
Cl 0.370 0.121 0.741  -0.01
Cl 0.370 0.619 0.741  -0.01
Cs 0.000 0.500 0.000  0.00
Tl 0.213 0.213 0.425  0.03

# 2
Crystalline CsPu2TlCl8 at its relaxed geometry. Source: Alexandria, functional PBE.

Calculated values
Its space group is P-1, No. 2. Its theoretical density is 4.10 g/cm3. The raw formation energy comes out at -21.22 eV per formula unit.

Lattice parameters (Å, degrees): 7.595 6.863 8.627 89.95 89.96 88.19
Site moments in Bohr magnetons follow the coordinates.
Fractional coordinates of all 12 atoms:
Cl 0.615 0.715 0.500  -0.04
Cl 0.624 0.718 0.000  -0.04
Pu 0.500 0.500 0.753  5.05
Cl 0.376 0.282 0.000  -0.04
Pu 0.500 0.500 0.247  5.05
Cl 0.201 0.711 0.765  -0.03
Cs 0.000 0.000 0.500  0.00
Cl 0.385 0.285 0.500  -0.04
Cl 0.201 0.711 0.235  -0.03
Cl 0.799 0.289 0.235  -0.03
Cl 0.799 0.289 0.765  -0.03
Tl 0.000 0.000 0.000  0.00

# 3
Crystalline CsPuTl2Cl8 at its relaxed geometry. Source: Alexandria, functional PBE.

Calculated values
Its space group is P-1, No. 2. Its theoretical density is 3.99 g/cm3. The raw formation energy comes out at -16.61 eV per formula unit.

Lattice parameters (Å, degrees): 6.229 7.738 9.840 89.97 89.80 110.36
Site moments in Bohr magnetons follow the coordinates.
Fractional coordinates of all 12 atoms:
Cl 0.581 0.801 0.001  -0.11
Pu 0.000 0.000 0.000  3.93
Cs 0.000 0.000 0.500  0.00
Tl 0.498 0.500 0.729  -0.04
Tl 0.502 0.500 0.271  -0.04
Cl 0.421 0.713 0.499  -0.08
Cl 0.419 0.199 0.999  -0.11
Cl 0.047 0.784 0.814  -0.09
Cl 0.579 0.287 0.501  -0.08
Cl 0.954 0.216 0.814  -0.09
Cl 0.953 0.216 0.186  -0.09
Cl 0.046 0.784 0.186  -0.09

# 4
Crystalline Cs2PuTlCl6 at its relaxed geometry. Source: Alexandria, functional PBE.

Calculated values
Its space group is Pmmn, No. 59. Its theoretical density is 3.87 g/cm3. The raw formation energy comes out at -17.97 eV per formula unit.

Lattice parameters (Å, degrees): 7.971 8.610 11.577 90.00 90.00 90.00
Site moments in Bohr magnetons follow the coordinates.
Fractional coordinates of all 20 atoms:
Cl 0.755 0.426 0.500  -0.02
Tl 0.500 0.287 0.000  0.00
Cs 0.500 0.798 0.779  0.00
Pu 0.500 0.218 0.500  5.03
Tl 0.000 0.713 0.500  0.00
Cl 0.261 0.991 0.500  -0.02
Cl 0.739 0.991 0.500  -0.02
Cl 0.745 0.574 0.000  -0.02
Cl 0.255 0.574 0.000  -0.02
Cl 0.000 0.790 0.234  -0.02
Pu 0.000 0.782 0.000  5.03
Cs 0.000 0.202 0.721  0.00
Cl 0.000 0.790 0.766  -0.02
Cl 0.245 0.426 0.500  -0.02
Cl 0.500 0.210 0.734  -0.02
Cl 0.761 0.009 0.000  -0.02
Cs 0.500 0.798 0.221  0.00
Cl 0.239 0.009 0.000  -0.02
Cl 0.500 0.210 0.266  -0.02
Cs 0.000 0.202 0.279  0.00

# 5
Crystalline Cs2PuVCl6 at its relaxed geometry. Source: Alexandria, functional PBE.

Calculated values
Its space group is Pmmn, No. 59. Its theoretical density is 4.22 g/cm3. The raw formation energy comes out at -16.79 eV per formula unit.

Lattice parameters (Å, degrees): 7.552 7.554 10.678 90.00 90.00 90.00
Site moments in Bohr magnetons follow the coordinates.
Fractional coordinates of all 20 atoms:
Cl 0.262 0.012 0.500  -0.02
Cl 0.762 0.988 0.000  -0.02
V 0.500 0.250 0.500  2.77
Cl 0.738 0.012 0.500  -0.02
Cl 0.000 0.750 0.762  -0.02
Cs 0.500 0.750 0.750  0.00
Pu 0.500 0.250 0.000  5.65
Cs 0.500 0.750 0.250  0.00
Cl 0.262 0.488 0.500  -0.02
Cl 0.238 0.512 0.000  -0.02
Cs 0.000 0.250 0.250  0.00
Cl 0.738 0.488 0.500  -0.02
Cl 0.762 0.512 0.000  -0.02
Cl 0.238 0.988 0.000  -0.02
Cl 0.500 0.250 0.738  -0.02
Cl 0.500 0.250 0.262  -0.02
Pu 0.000 0.750 0.500  5.65
Cl 0.000 0.750 0.238  -0.02
Cs 0.000 0.250 0.750  0.00
V 0.000 0.750 0.000  2.77

# 6
Crystalline CsPu2VCl8 at its relaxed geometry. Source: Alexandria, functional PBE.

Calculated values
Its space group is P-1, No. 2. Its theoretical density is 3.84 g/cm3. The raw formation energy comes out at -20.36 eV per formula unit.

Lattice parameters (Å, degrees): 6.434 6.660 10.364 74.17 102.71 100.27
Site moments in Bohr magnetons follow the coordinates.
Fractional coordinates of all 12 atoms:
Pu 0.691 0.492 0.862  5.43
Cs 0.000 0.000 0.500  0.00
Cl 0.829 0.196 0.775  -0.02
Cl 0.911 0.246 0.120  -0.03
Cl 0.516 0.706 0.622  -0.03
Cl 0.171 0.804 0.225  -0.02
Cl 0.658 0.756 0.029  -0.03
Pu 0.309 0.508 0.138  5.43
Cl 0.484 0.294 0.378  -0.03
Cl 0.089 0.754 0.880  -0.03
Cl 0.342 0.244 0.971  -0.03
V 0.000 0.000 0.000  2.59

| no. | DFT total energy (Ry/atom) |
| --- | --- |
| 1 | -0.345 |
| 2 | -0.416 |
| 3 | -0.314 |
| 4 | -0.349 |
| 5 | -0.390 |
| 6 | -0.452 |